# 1
This record from Alexandria via LeMat-Bulk describes a relaxed structure of Ba3SrZn4. The functional is PBE-GGA.

Geometry as extended XYZ:
```
8
Lattice="-0.412 -4.019 0.471 0.697 0.396 3.988 -15.886 1.932 2.585" Properties=species:S:1:pos:R:3 pbc="T T T"
Sr 0.142 -1.812 2.230
Zn -9.965 1.212 1.622
Ba -7.801 -0.846 3.522
Ba -3.735 -1.340 2.861
Zn -5.921 0.720 0.963
Ba -11.866 -0.351 4.184
Zn -14.069 1.711 2.289
Zn -1.817 0.221 0.296
```

## Properties
Formation energy from the elements: -0.16 eV/atom
SG: No. 123

***

# 2
This record from Alexandria via LeMat-Bulk describes a relaxed structure of Ba2SrZn. The functional is PBE-GGA.

Geometry as extended XYZ:
```
4
Lattice="6.918 0.001 0.000 2.293 6.527 0.000 -4.605 -3.264 4.000" Properties=species:S:1:pos:R:3 pbc="T T T"
Ba 4.605 3.264 0.000
Zn 3.459 0.000 2.000
Sr 1.146 3.264 2.000
Ba 0.000 0.000 0.000
```

## Properties
Formation energy from the elements: 0.13 eV/atom
SG: No. 139

***

# 3
This record from Alexandria via LeMat-Bulk describes a relaxed structure of BaSrZn. The functional is PBE-GGA.

Geometry as extended XYZ:
```
3
Lattice="7.872 0.000 -0.001 6.818 3.933 -0.007 1.055 0.285 3.923" Properties=species:S:1:pos:R:3 pbc="T T T"
Ba 1.510 0.406 3.791
Sr 5.073 1.359 2.764
Zn 10.217 2.736 1.282
```

## Properties
Formation energy from the elements: -0.13 eV/atom
Distance to the lowest polymorph of the same formula: 0 meV per atom
SG: No. 107

***

Number 1: magnetization 0.00 μB per formula unit. Number 2: magnetization 0.00 μB per formula unit. Number 3: magnetization 0.00 μB per formula unit.